First-principles (PBE with a Hubbard U) data for a relaxed structure of V2NiP2H8O14, as listed in the Alexandria database.

Results
Calculated volume ... 269 Å³/f.u.
Calculated total energy ... -6.21 eV per atom

Lattice parameters (Å, degrees): 6.333 6.333 13.430 90.00 90.00 90.00
Space group I4/m (No. 87)
Unique sites:
V 0.000 0.000 0.223 (multiplicity 4)
Ni 0.000 0.000 0.500 (multiplicity 2)
P 0.000 0.500 0.250 (multiplicity 4)
H 0.147 0.323 0.060 (multiplicity 16)
O 0.000 0.000 0.345 (multiplicity 4)
O 0.026 0.304 0.181 (multiplicity 16)
O 0.193 0.737 0.500 (multiplicity 8)